Here is crystalline UMn2CuO6 at its relaxed geometry from the Alexandria database. Energies are from GGA+U.

The calculated volume is 13.024 Å³/atom. Its total energy is -159.9 eV/cell. Its density of states at the Fermi level is 8.5 states/eV per cell.

The structure belongs to space group P2_1/c (No. 14); the cell edges are 5.633, 5.182 and 10.549 Å and the angles 90.00°, 122.24° and 90.00°. The inequivalent atoms are U at (0.000, 0.000, 0.000), Mn at (0.304, 0.000, 0.803), Cu at (0.500, 0.000, 0.500), O at (0.011, 0.228, 0.163), O at (0.316, 0.729, 0.663) and O at (0.345, 0.192, 0.000).